The following is a DFT calculation (meta-GGA SCAN) of a PBEsol-optimized structure of MgTlBi2I.

Output
- Space group: No. 123
- ΔE_f (raw): 0.800 eV per atom
- Raw total energy: -267.23 eV for the cell shown

Cell lengths 5.937, 5.937, 6.034 Å; angles 90.00, 90.00, 90.00 degrees
Sites, in units of the cell vectors:
Mg (0.500, 0.500, 0.500)
Tl (0.000, 0.000, 0.500)
I (0.000, 0.000, 0.000)
Bi (0.500, 0.000, 0.000)
Bi (0.000, 0.500, 0.000)



The following is a DFT calculation (meta-GGA SCAN) of a PBEsol-optimized structure of Mn3BiI.

Output
- Space group: No. 221
- ΔE_f (raw): 0.936 eV per atom
- Raw total energy: -165.41 eV for the cell shown

Cell lengths 4.880, 4.880, 4.880 Å; angles 90.00, 90.00, 90.00 degrees
Last column: magnetic moment on the atom in μB.
Sites, in units of the cell vectors:
Mn (0.000, 0.500, 0.000)  3.92
Mn (0.000, 0.000, 0.500)  3.92
Mn (0.500, 0.000, 0.000)  3.92
Bi (0.500, 0.500, 0.500)  0.09
I (0.000, 0.000, 0.000)  -0.06



Question: The lowest ΔE_f (raw) belongs to which entry?
Answer: MgTlBi2I